# 1
Computed, not measured: a relaxed NpZn2Cl6 crystal at the PBE level of DFT.

Values from the calculation:
Symmetry: R3 (146)
ΔE_f (raw) (meV/atom): -1150.9

Cell: 7.6119 7.6119 7.6119 Å, 57.18 57.18 57.18°
Element x y z (fractional)
Np1 0.0000 0.0000 0.0000
Zn1 0.6212 0.6212 0.6212
Zn2 0.7479 0.7479 0.7479
Cl1 0.1416 0.7591 0.3259
Cl2 0.2405 0.6684 0.8271
Cl3 0.3259 0.1416 0.7591
Cl4 0.6684 0.8271 0.2405
Cl5 0.7591 0.3259 0.1416
Cl6 0.8271 0.2405 0.6684

***

# 2
Computed, not measured: a relaxed Sc8TcNi2 crystal at the PBE level of DFT.

Values from the calculation:
Symmetry: C2/m (12)
Formation energy (eV/atom): -0.266

Cell: 8.2106 8.2106 6.3050 Å, 107.64 107.64 33.07°
Element x y z (fractional)
Sc1 0.0325 0.0325 0.2935
Sc2 0.1949 0.1949 0.8074
Sc3 0.3294 0.3294 0.5292
Sc4 0.4033 0.4033 0.0449
Sc5 0.5967 0.5967 0.9551
Sc6 0.6706 0.6706 0.4708
Sc7 0.8051 0.8051 0.1926
Sc8 0.9675 0.9675 0.7065
Tc1 0.5000 0.5000 0.5000
Ni1 0.1845 0.1845 0.1954
Ni2 0.8155 0.8155 0.8046

***

# 3
Computed, not measured: a relaxed CoTeAs2 crystal at the PBE level of DFT.

Values from the calculation:
Symmetry: R3m (160)
ΔE_f (raw) (meV/atom): 132.1

Cell: 6.8189 6.8189 6.8189 Å, 31.58 31.58 31.58°
Element x y z (fractional)
Co1 0.0000 0.0000 0.0000
Te1 0.7368 0.7368 0.7368
As1 0.2629 0.2629 0.2629
As2 0.5169 0.5169 0.5169

***

- What is the formula in the third record?
  CoTeAs2